# Dy8PSe4S3 (PBE-GGA, optimized geometry)
data_Dy8PSe4S3
_chemical_formula_sum 'Dy8 P1 Se4 S3'
_space_group_name_H-M_alt 'P 1'
_space_group_IT_number 1
_space_group_name_Hall 'P 1'
_cell_length_a 8.0714
_cell_length_b 8.0714
_cell_length_c 8.0714
_cell_angle_alpha 59.13
_cell_angle_beta 59.13
_cell_angle_gamma 59.13
loop_
_atom_site_label
_atom_site_fract_x
_atom_site_fract_y
_atom_site_fract_z
Dy1 0.2412 0.2412 0.2412
Dy2 0.2445 0.7397 0.7397
Dy3 0.2603 0.2603 0.7555
Dy4 0.2603 0.7555 0.2603
Dy5 0.7397 0.2445 0.7397
Dy6 0.7397 0.7397 0.2445
Dy7 0.7555 0.2603 0.2603
Dy8 0.7588 0.7588 0.7588
P1 0.5000 0.5000 0.5000
Se1 0.0000 0.0000 0.0000
Se2 0.0000 0.5000 0.5000
Se3 0.5000 0.0000 0.5000
Se4 0.5000 0.5000 0.0000
S1 0.0000 0.0000 0.5000
S2 0.0000 0.5000 0.0000
S3 0.5000 0.0000 0.0000
# - space group = R-3m (166)
# - ΔE_f (raw) (eV per atom) = -1.87
# - crystal system = trigonal